1.
# GaFe2Te

A geometry-optimized GaFe2Te structure (PBE-GGA, Alexandria).

Values from the calculation:
- distance to the lowest polymorph of the same formula (meV per atom) = 0
- formation energy without anion corrections (eV per atom) = 0.31

Cell: 6.0558 6.0558 6.0558 Å, 90.00 90.00 90.00°
With the nearest neighbours (Å) after each atom.
Element x y z (fractional)
Ga: 0.0000 0.0000 0.0000  8 Fe 2.62
Ga: 0.0000 0.5000 0.5000  8 Fe 2.62
Ga: 0.5000 0.0000 0.5000  8 Fe 2.62
Ga: 0.5000 0.5000 0.0000  8 Fe 2.62
Fe: 0.2500 0.2500 0.2500  4 Te 2.62, 4 Ga 2.62
Fe: 0.2500 0.2500 0.7500  4 Te 2.62, 4 Ga 2.62
Fe: 0.2500 0.7500 0.2500  4 Te 2.62, 4 Ga 2.62
Fe: 0.2500 0.7500 0.7500  4 Te 2.62, 4 Ga 2.62
Fe: 0.7500 0.2500 0.2500  4 Te 2.62, 4 Ga 2.62
Fe: 0.7500 0.2500 0.7500  4 Te 2.62, 4 Ga 2.62
Fe: 0.7500 0.7500 0.2500  4 Te 2.62, 4 Ga 2.62
Fe: 0.7500 0.7500 0.7500  4 Te 2.62, 4 Ga 2.62
Te: 0.0000 0.0000 0.5000  8 Fe 2.62
Te: 0.0000 0.5000 0.0000  8 Fe 2.62
Te: 0.5000 0.0000 0.0000  8 Fe 2.62
Te: 0.5000 0.5000 0.5000  8 Fe 2.62

=====

2.
# PuBiRh

A geometry-optimized PuBiRh structure (PBE-GGA, Alexandria).

Values from the calculation:
- ΔE_f (eV per atom) = -0.30

Cell: 4.7641 4.7641 3.5487 Å, 90.00 90.00 120.00°
With the nearest neighbours (Å) after each atom.
Element x y z (fractional)
Pu: 0.0000 0.0000 0.0000  6 Bi 3.27, 6 Rh 3.27, 2 Pu 3.55
Bi: 0.3333 0.6667 0.5000  3 Rh 2.75
Rh: 0.6667 0.3333 0.5000  3 Bi 2.75

=====

3.
# SrCo2SbN

A geometry-optimized SrCo2SbN structure (PBE-GGA, Alexandria).

Values from the calculation:
- formation energy without anion corrections (eV per atom) = -0.42

Cell: 6.1552 6.1552 6.9449 Å, 90.00 90.00 140.99°
With the nearest neighbours (Å) after each atom.
Element x y z (fractional)
Sr: 0.0519 0.9481 0.7500  4 N 2.76
Sr: 0.9481 0.0519 0.2500  4 N 2.76
Co: 0.3561 0.6439 0.5605  1 N 1.72
Co: 0.3561 0.6439 0.9395  1 N 1.72
Co: 0.6439 0.3561 0.0605  1 N 1.72
Co: 0.6439 0.3561 0.4395  1 N 1.72
Sb: 0.2271 0.7729 0.2500  6 Co 2.62-2.63
Sb: 0.7729 0.2271 0.7500  6 Co 2.62-2.63
N: 0.5000 0.5000 0.0000  2 Co 1.72
N: 0.5000 0.5000 0.5000  2 Co 1.72

=====

4.
# LaMnTe

A geometry-optimized LaMnTe structure (PBE-GGA, Alexandria).

Values from the calculation:
- formation energy without anion corrections (eV per atom) = -0.50

Cell: 4.5746 4.5746 4.1409 Å, 90.00 90.00 120.00°
With the nearest neighbours (Å) after each atom.
Element x y z (fractional)
La: 0.0000 0.0000 0.0000  6 Te 3.36, 6 Mn 3.36
Mn: 0.6667 0.3333 0.5000  3 Te 2.64
Te: 0.3333 0.6667 0.5000  3 Mn 2.64

=====

| no. | calculated density (kg/m³) | total magnetization (Bohr magnetons per cell) |
| --- | --- | --- |
| 1 | 9242 | 5.1 |
| 2 | 13233 | 4.9 |
| 3 | 6843 | 0.0 |
| 4 | 7113 | 2.7 |